Sm8Hg2Ge: optimized geometry, PBE-GGA.

## Properties
Calculated density ... 8.5 g cm⁻³
Uncorrected energy ... -46.1 eV/cell
Symmetry ... C2/m
Spin magnetization ... 0.00 μB/cell

Lattice parameters (Å, degrees): 5.269 6.924 9.877 108.31 105.47 90.00
Element x y z (fractional)
Sm1 0.592 0.461 0.183
Sm2 0.662 0.997 0.325
Sm3 0.016 0.778 0.031
Sm4 0.203 0.337 0.406
Sm5 0.984 0.222 0.969
Sm6 0.338 0.003 0.675
Sm7 0.797 0.663 0.594
Sm8 0.408 0.539 0.817
Hg1 0.828 0.260 0.656
Hg2 0.172 0.740 0.344
Ge1 0.500 0.000 0.000